A relaxed structure of CsNaAc2O4. Source: Alexandria via LeMat-Bulk, functional GGA-PBE.

Values from the calculation:
N(E_F) in states/eV/atom: 0.000
Crystal system: orthorhombic
E_form (uncorrected) in eV per atom: -2.5044
V in Å³/cell: 335.3

Structure (CIF):
```
data_CsNaAc2O4
_space_group_name_H-M_alt 'P 1'
_space_group_IT_number 1
_space_group_name_Hall 'P 1'
_cell_length_a 3.937
_cell_length_b 6.784
_cell_length_c 13.116
_cell_angle_alpha 90.00
_cell_angle_beta 90.00
_cell_angle_gamma 106.87
loop_
_atom_site_label
_atom_site_type_symbol
_atom_site_fract_x
_atom_site_fract_y
_atom_site_fract_z
Cs1 Cs 0.085 0.171 0.750
Cs2 Cs 0.915 0.829 0.250
Na1 Na 0.808 0.616 0.750
Na2 Na 0.192 0.384 0.250
Ac1 Ac 0.367 0.734 0.557
Ac2 Ac 0.633 0.266 0.057
Ac3 Ac 0.633 0.266 0.443
Ac4 Ac 0.367 0.734 0.943
O1 O 0.248 0.496 0.089
O2 O 0.752 0.504 0.589
O3 O 0.752 0.504 0.911
O4 O 0.248 0.496 0.411
O5 O 0.000 0.000 0.500
O6 O 0.000 0.000 0.000
O7 O 0.399 0.798 0.750
O8 O 0.601 0.202 0.250
```

A relaxed structure of CsNaAc2Te4. Source: Alexandria via LeMat-Bulk, functional GGA-PBE.

Values from the calculation:
N(E_F) in states/eV/atom: 0.000
Crystal system: orthorhombic
E_form (uncorrected) in eV per atom: -1.3969
V in Å³/cell: 686.6

Structure (CIF):
```
data_CsNaAc2Te4
_space_group_name_H-M_alt 'P 1'
_space_group_IT_number 1
_space_group_name_Hall 'P 1'
_cell_length_a 4.927
_cell_length_b 8.479
_cell_length_c 17.176
_cell_angle_alpha 90.00
_cell_angle_beta 90.00
_cell_angle_gamma 106.89
loop_
_atom_site_label
_atom_site_type_symbol
_atom_site_fract_x
_atom_site_fract_y
_atom_site_fract_z
Cs1 Cs 0.113 0.225 0.750
Cs2 Cs 0.887 0.775 0.250
Na1 Na 0.832 0.665 0.750
Na2 Na 0.168 0.335 0.250
Ac1 Ac 0.368 0.737 0.563
Ac2 Ac 0.632 0.263 0.063
Ac3 Ac 0.632 0.263 0.437
Ac4 Ac 0.368 0.737 0.937
Te1 Te 0.264 0.528 0.103
Te2 Te 0.736 0.472 0.603
Te3 Te 0.736 0.472 0.897
Te4 Te 0.264 0.528 0.397
Te5 Te 0.000 0.000 0.500
Te6 Te 0.000 0.000 0.000
Te7 Te 0.433 0.866 0.750
Te8 Te 0.567 0.134 0.250
```

A relaxed structure of CsAcNbO4. Source: Alexandria via LeMat-Bulk, functional GGA-PBE.

Values from the calculation:
N(E_F) in states/eV/atom: 0.174
Crystal system: monoclinic
E_form (uncorrected) in eV per atom: -2.4658
V in Å³/cell: 333.8

Structure (CIF):
```
data_CsAcNbO4
_space_group_name_H-M_alt 'P 1'
_space_group_IT_number 1
_space_group_name_Hall 'P 1'
_cell_length_a 6.681
_cell_length_b 6.415
_cell_length_c 8.270
_cell_angle_alpha 90.00
_cell_angle_beta 109.67
_cell_angle_gamma 90.00
loop_
_atom_site_label
_atom_site_type_symbol
_atom_site_fract_x
_atom_site_fract_y
_atom_site_fract_z
Cs1 Cs 0.677 0.750 0.938
Cs2 Cs 0.323 0.250 0.062
Ac1 Ac 0.808 0.750 0.468
Ac2 Ac 0.192 0.250 0.532
Nb1 Nb 0.262 0.750 0.341
Nb2 Nb 0.738 0.250 0.659
O1 O 0.969 0.463 0.670
O2 O 0.031 0.963 0.330
O3 O 0.031 0.537 0.330
O4 O 0.969 0.037 0.670
O5 O 0.437 0.750 0.202
O6 O 0.563 0.250 0.798
O7 O 0.459 0.750 0.560
O8 O 0.541 0.250 0.440
```

A relaxed structure of Cs3AcNb2O8. Source: Alexandria via LeMat-Bulk, functional GGA-PBE.

Values from the calculation:
N(E_F) in states/eV/atom: 0.000
Crystal system: trigonal
E_form (uncorrected) in eV per atom: -2.5591
V in Å³/cell: 325.5

Structure (CIF):
```
data_Cs3AcNb2O8
_space_group_name_H-M_alt 'P 1'
_space_group_IT_number 1
_space_group_name_Hall 'P 1'
_cell_length_a 6.615
_cell_length_b 6.615
_cell_length_c 8.590
_cell_angle_alpha 90.00
_cell_angle_beta 90.00
_cell_angle_gamma 120.00
loop_
_atom_site_label
_atom_site_type_symbol
_atom_site_fract_x
_atom_site_fract_y
_atom_site_fract_z
Cs1 Cs 0.333 0.667 0.710
Cs2 Cs 0.667 0.333 0.290
Cs3 Cs 0.000 0.000 0.000
Ac1 Ac 0.000 0.000 0.500
Nb1 Nb 0.333 0.667 0.254
Nb2 Nb 0.667 0.333 0.746
O1 O 0.333 0.667 0.041
O2 O 0.667 0.333 0.959
O3 O 0.177 0.823 0.327
O4 O 0.823 0.177 0.673
O5 O 0.177 0.353 0.327
O6 O 0.823 0.647 0.673
O7 O 0.647 0.823 0.327
O8 O 0.353 0.177 0.673
```

A relaxed structure of Cs2AcNb2O7. Source: Alexandria via LeMat-Bulk, functional GGA-PBE.

Values from the calculation:
N(E_F) in states/eV/atom: 0.054
Crystal system: tetragonal
E_form (uncorrected) in eV per atom: -2.5948
V in Å³/cell: 207.3

Structure (CIF):
```
data_Cs2AcNb2O7
_space_group_name_H-M_alt 'P 1'
_space_group_IT_number 1
_space_group_name_Hall 'P 1'
_cell_length_a 4.133
_cell_length_b 4.133
_cell_length_c 12.480
_cell_angle_alpha 80.47
_cell_angle_beta 80.47
_cell_angle_gamma 89.99
loop_
_atom_site_label
_atom_site_type_symbol
_atom_site_fract_x
_atom_site_fract_y
_atom_site_fract_z
Cs1 Cs 0.812 0.812 0.376
Cs2 Cs 0.188 0.188 0.624
Ac1 Ac 0.000 0.000 0.000
Nb1 Nb 0.588 0.588 0.824
Nb2 Nb 0.412 0.412 0.176
O1 O 0.500 0.500 0.000
O2 O 0.335 0.335 0.330
O3 O 0.665 0.665 0.670
O4 O 0.924 0.424 0.152
O5 O 0.424 0.924 0.152
O6 O 0.576 0.076 0.848
O7 O 0.076 0.576 0.848
```

A relaxed structure of Cs3Ac3NbO8. Source: Alexandria via LeMat-Bulk, functional GGA-PBE.

Values from the calculation:
N(E_F) in states/eV/atom: 0.201
Crystal system: trigonal
E_form (uncorrected) in eV per atom: -2.4859
V in Å³/cell: 344.7

Structure (CIF):
```
data_Cs3Ac3NbO8
_space_group_name_H-M_alt 'P 1'
_space_group_IT_number 1
_space_group_name_Hall 'P 1'
_cell_length_a 7.478
_cell_length_b 7.478
_cell_length_c 8.326
_cell_angle_alpha 116.70
_cell_angle_beta 90.00
_cell_angle_gamma 120.00
loop_
_atom_site_label
_atom_site_type_symbol
_atom_site_fract_x
_atom_site_fract_y
_atom_site_fract_z
Cs1 Cs 0.000 0.000 0.000
Cs2 Cs 0.000 0.500 0.000
Cs3 Cs 0.500 0.500 0.000
Ac1 Ac 0.500 0.000 0.500
Ac2 Ac 0.500 0.500 0.500
Ac3 Ac 0.000 0.500 0.500
Nb1 Nb 0.000 0.000 0.500
O1 O 0.277 0.554 0.331
O2 O 0.723 0.446 0.669
O3 O 0.813 0.626 0.351
O4 O 0.187 0.374 0.649
O5 O 0.813 0.038 0.351
O6 O 0.187 0.962 0.649
O7 O 0.225 0.038 0.351
O8 O 0.775 0.962 0.649
```

A relaxed structure of CsAcNbO5. Source: Alexandria via LeMat-Bulk, functional GGA-PBE.

Values from the calculation:
N(E_F) in states/eV/atom: 1.171
Crystal system: monoclinic
E_form (uncorrected) in eV per atom: -2.4584
V in Å³/cell: 361.4

Structure (CIF):
```
data_CsAcNbO5
_space_group_name_H-M_alt 'P 1'
_space_group_IT_number 1
_space_group_name_Hall 'P 1'
_cell_length_a 6.851
_cell_length_b 6.851
_cell_length_c 8.784
_cell_angle_alpha 103.86
_cell_angle_beta 103.86
_cell_angle_gamma 106.79
loop_
_atom_site_label
_atom_site_type_symbol
_atom_site_fract_x
_atom_site_fract_y
_atom_site_fract_z
Cs1 Cs 0.331 0.669 0.250
Cs2 Cs 0.669 0.331 0.750
Ac1 Ac 0.000 0.000 0.500
Ac2 Ac 0.000 0.000 0.000
Nb1 Nb 0.688 0.312 0.250
Nb2 Nb 0.312 0.688 0.750
O1 O 0.053 0.947 0.250
O2 O 0.947 0.053 0.750
O3 O 0.870 0.295 0.120
O4 O 0.130 0.705 0.880
O5 O 0.705 0.130 0.380
O6 O 0.295 0.870 0.620
O7 O 0.769 0.598 0.386
O8 O 0.231 0.402 0.614
O9 O 0.402 0.231 0.114
O10 O 0.598 0.769 0.886
```

A relaxed structure of Cs2AcNbS4. Source: Alexandria via LeMat-Bulk, functional GGA-PBE.

Values from the calculation:
N(E_F) in states/eV/atom: 0.270
Crystal system: tetragonal
E_form (uncorrected) in eV per atom: -1.1894
V in Å³/cell: 301.1

Structure (CIF):
```
data_Cs2AcNbS4
_space_group_name_H-M_alt 'P 1'
_space_group_IT_number 1
_space_group_name_Hall 'P 1'
_cell_length_a 7.391
_cell_length_b 7.391
_cell_length_c 7.391
_cell_angle_alpha 97.60
_cell_angle_beta 115.72
_cell_angle_gamma 115.72
loop_
_atom_site_label
_atom_site_type_symbol
_atom_site_fract_x
_atom_site_fract_y
_atom_site_fract_z
Cs1 Cs 0.500 0.750 0.250
Cs2 Cs 0.000 0.000 0.000
Ac1 Ac 0.500 0.250 0.750
Nb1 Nb 0.000 0.500 0.500
S1 S 0.613 0.381 0.447
S2 S 0.066 0.232 0.619
S3 S 0.934 0.553 0.165
S4 S 0.387 0.835 0.768
```